LuCo3P2: optimized geometry, GGA-PBE.

Output
Formation energy: -0.95 eV/atom
DOS at the Fermi energy: 0.63 states/eV per atom

Unit cell a=3.650 b=10.456 c=12.064 alpha=90.00 beta=90.00 gamma=90.00
Each line ends with the local moment (μB).
Fractional coordinates of all 36 atoms:
Lu 0.500 0.000 0.477  0.00
Lu 0.500 0.818 0.206  0.01
Lu 0.000 0.682 0.794  0.01
Lu 0.000 0.318 0.794  0.01
Lu 0.000 0.500 0.523  0.00
Lu 0.500 0.182 0.206  0.01
P 0.000 0.187 0.383  0.00
P 0.000 0.000 0.118  0.00
P 0.000 0.813 0.383  0.00
P 0.500 0.847 0.892  0.00
P 0.500 0.500 0.882  0.00
P 0.500 0.153 0.892  0.00
P 0.500 0.687 0.617  0.00
P 0.500 0.313 0.617  0.00
P 0.000 0.653 0.108  0.00
P 0.000 0.000 0.653  0.00
P 0.000 0.347 0.108  0.00
P 0.500 0.500 0.347  0.00
Co 0.000 0.000 0.840  0.88
Co 0.000 0.797 0.569  0.15
Co 0.000 0.203 0.569  0.15
Co 0.000 0.378 0.291  0.40
Co 0.000 0.622 0.291  0.40
Co 0.500 0.667 0.994  0.01
Co 0.500 0.500 0.703  -0.02
Co 0.500 0.000 0.014  0.12
Co 0.000 0.000 0.297  -0.02
Co 0.000 0.500 0.986  0.12
Co 0.500 0.703 0.431  0.15
Co 0.500 0.878 0.709  0.40
Co 0.500 0.297 0.431  0.15
Co 0.500 0.500 0.160  0.88
Co 0.500 0.122 0.709  0.40
Co 0.000 0.167 0.006  0.01
Co 0.000 0.833 0.006  0.01
Co 0.500 0.333 0.994  0.01



LuPaCo2: optimized geometry, GGA-PBE.

Output
Formation energy: -0.19 eV/atom
DOS at the Fermi energy: 1.44 states/eV per atom

Unit cell a=4.664 b=4.664 c=4.664 alpha=60.00 beta=60.00 gamma=60.00
Fractional coordinates of all 4 atoms:
Co 0.750 0.750 0.750
Co 0.250 0.250 0.250
Lu 0.500 0.500 0.500
Pa 0.000 0.000 0.000



LuPaCo2: optimized geometry, GGA-PBE.

Output
Formation energy: -0.24 eV/atom
DOS at the Fermi energy: 0.66 states/eV per atom

Unit cell a=3.675 b=3.675 c=6.868 alpha=74.48 beta=74.48 gamma=60.00
Fractional coordinates of all 4 atoms:
Lu 0.500 0.500 0.500
Co 0.257 0.257 0.229
Co 0.743 0.743 0.771
Pa 0.000 0.000 0.000



LuPaCo2: optimized geometry, GGA-PBE.

Output
Formation energy: -0.28 eV/atom
DOS at the Fermi energy: 0.71 states/eV per atom

Unit cell a=3.320 b=3.320 c=6.614 alpha=90.00 beta=90.00 gamma=90.00
Fractional coordinates of all 4 atoms:
Pa 0.500 0.500 0.000
Co 0.000 0.000 0.792
Co 0.000 0.000 0.208
Lu 0.500 0.500 0.500



LuPaCo2: optimized geometry, GGA-PBE.

Output
Formation energy: -0.23 eV/atom
DOS at the Fermi energy: 1.13 states/eV per atom

Unit cell a=3.246 b=4.676 c=4.676 alpha=90.00 beta=90.00 gamma=90.00
Fractional coordinates of all 4 atoms:
Lu 0.500 0.000 0.000
Co 0.000 0.500 0.000
Co 0.000 0.000 0.500
Pa 0.500 0.500 0.500



LuPaCoPt: optimized geometry, GGA-PBE.

Output
Formation energy: -0.55 eV/atom
DOS at the Fermi energy: 1.32 states/eV per atom

Unit cell a=4.819 b=4.819 c=4.819 alpha=60.00 beta=60.00 gamma=60.00
Fractional coordinates of all 4 atoms:
Co 0.750 0.750 0.750
Lu 0.000 0.000 0.000
Pa 0.500 0.500 0.500
Pt 0.250 0.250 0.250



LuPaCoRh: optimized geometry, GGA-PBE.

Output
Formation energy: -0.44 eV/atom
DOS at the Fermi energy: 1.45 states/eV per atom

Unit cell a=4.763 b=4.763 c=4.763 alpha=60.00 beta=60.00 gamma=60.00
Fractional coordinates of all 4 atoms:
Lu 0.750 0.750 0.750
Rh 0.000 0.000 0.000
Co 0.500 0.500 0.500
Pa 0.250 0.250 0.250



LuPaCoRu: optimized geometry, GGA-PBE.

Output
Formation energy: -0.32 eV/atom
DOS at the Fermi energy: 1.11 states/eV per atom

Unit cell a=4.741 b=4.741 c=4.741 alpha=60.00 beta=60.00 gamma=60.00
Fractional coordinates of all 4 atoms:
Ru 0.250 0.250 0.250
Lu 0.500 0.500 0.500
Pa 0.000 0.000 0.000
Co 0.750 0.750 0.750



Which formula does entry 1 have?
LuCo3P2



DOS at the Fermi energy of number 6 (LuPaCoPt)?
1.32 states/eV per atom



Which value of DOS at the Fermi energy does entry 8 give?
1.11 states/eV per atom